[1]
A plane-wave DFT calculation with PBE was carried out for a geometry-optimized Cs3ZrTl structure.

Computed properties:
SG: Pm-3m, No. 221
electronic total energy: -8.34 eV per cell

Lattice parameters (Å, degrees): 7.1301 7.1301 7.1301 90.00 90.00 90.00
Last column: nearest neighbours and their distance in Å.
Atoms (fractional coordinates):
Cs: 0.0000 0.0000 0.5000  2 Zr 3.57
Cs: 0.0000 0.5000 0.0000  2 Zr 3.57
Cs: 0.5000 0.0000 0.0000  2 Zr 3.57
Zr: 0.0000 0.0000 0.0000  6 Cs 3.57
Tl: 0.5000 0.5000 0.5000  12 Cs 5.04

[2]
A plane-wave DFT calculation with PBE was carried out for a geometry-optimized CsZrTl structure.

Computed properties:
energy above the lowest structure with this stoichiometry: 421.8 meV per atom
SG: Pnma, No. 62

Lattice parameters (Å, degrees): 9.7132 5.1655 8.6869 90.00 90.00 90.00
Last column: nearest neighbours and their distance in Å.
Atoms (fractional coordinates):
Cs: 0.0521 0.2500 0.1325  2 Cs 3.61, 4 Tl 3.67-3.82, 4 Zr 3.77-3.85
Cs: 0.4479 0.7500 0.6325  2 Cs 3.61, 4 Tl 3.67-3.82, 4 Zr 3.77-3.85
Cs: 0.5521 0.2500 0.3675  2 Cs 3.61, 4 Tl 3.67-3.82, 4 Zr 3.77-3.85
Cs: 0.9479 0.7500 0.8675  2 Cs 3.61, 4 Tl 3.67-3.82, 4 Zr 3.77-3.85
Zr: 0.0928 0.7500 0.4574  1 Tl 2.91, 2 Zr 3.24
Zr: 0.4072 0.2500 0.9574  1 Tl 2.91, 2 Zr 3.24
Zr: 0.5928 0.7500 0.0426  1 Tl 2.91, 2 Zr 3.24
Zr: 0.9072 0.2500 0.5426  1 Tl 2.91, 2 Zr 3.24
Tl: 0.1819 0.2500 0.6765  1 Zr 2.91
Tl: 0.3181 0.7500 0.1765  1 Zr 2.91
Tl: 0.6819 0.2500 0.8235  1 Zr 2.91
Tl: 0.8181 0.7500 0.3235  1 Zr 2.91

[3]
A plane-wave DFT calculation with PBE was carried out for a geometry-optimized CsZrTl structure.

Computed properties:
energy above the lowest structure with this stoichiometry: 0.0 meV per atom
SG: P-1, No. 2

Lattice parameters (Å, degrees): 3.6537 4.0094 15.2636 89.96 89.13 89.99
Last column: nearest neighbours and their distance in Å.
Atoms (fractional coordinates):
Cs: 0.2292 0.2492 0.3373  4 Cs 3.65-4.01, 4 Tl 3.86
Cs: 0.7708 0.7508 0.6627  4 Cs 3.65-4.01, 4 Tl 3.86
Zr: 0.2466 0.2499 0.0556  5 Tl 3.13-3.25, 4 Zr 3.20
Zr: 0.7534 0.7501 0.9444  5 Tl 3.13-3.25, 4 Zr 3.20
Tl: 0.2598 0.2503 0.8424  5 Zr 3.13-3.25
Tl: 0.7402 0.7497 0.1576  5 Zr 3.13-3.25